# Li2NbCo3O8

An optimized crystal structure of Li2NbCo3O8 (GGA+U, Alexandria via LeMat-Bulk).

- energy above the most stable polymorph in this dataset (eV per atom) = 0.079
- space-group type = R-3m (166)

a = 6.058 Å, b = 6.058 Å, c = 6.058 Å
α = 59.33°, β = 59.33°, γ = 59.33°
Each line ends with the local moment (μB).
Sites, in units of the cell vectors:
O  0.737  0.279  0.737  0.22
O  0.268  0.268  0.268  0.43
O  0.721  0.263  0.263  0.22
O  0.263  0.263  0.721  0.22
O  0.732  0.732  0.732  0.43
O  0.263  0.721  0.263  0.22
O  0.737  0.737  0.279  0.22
O  0.279  0.737  0.737  0.22
Li  0.125  0.125  0.125  0.01
Li  0.875  0.875  0.875  0.01
Nb  0.500  0.500  0.500  0.03
Co  0.000  0.500  0.500  3.10
Co  0.500  0.500  0.000  3.10
Co  0.500  0.000  0.500  3.10